<i>
GGA-PBE HfGa2Ge2, optimized geometry; calculated volume = 184.6 Å³ per cell
1.0
-0.311 -0.754 7.074
-5.961 -3.837 -0.671
1.985 -3.043 -0.237
Ge Ga Hf
4 4 2
Direct
0.865 0.635 0.000 Ge
0.635 0.135 0.000 Ge
0.135 0.365 0.000 Ge
0.365 0.865 0.000 Ge
0.166 0.666 0.500 Ga
0.666 0.834 0.500 Ga
0.334 0.166 0.500 Ga
0.834 0.334 0.500 Ga
0.500 0.500 0.000 Hf
0.000 0.000 0.000 Hf

<ii>
GGA-PBE HfGa2Ge2, optimized geometry; calculated volume = 184.1 Å³ per cell
1.0
-3.287 3.247 -5.474
-6.285 -0.683 3.369
0.504 3.179 1.584
Ga Hf Ge
4 2 4
Direct
0.627 0.127 0.000 Ga
0.373 0.873 0.000 Ga
0.127 0.373 0.000 Ga
0.873 0.627 0.000 Ga
0.500 0.500 0.000 Hf
0.000 0.000 0.000 Hf
0.828 0.328 0.500 Ge
0.172 0.672 0.500 Ge
0.672 0.828 0.500 Ge
0.328 0.172 0.500 Ge

Stability summary - winner: <i>; margin: 5.8 kJ/mol of atoms.

<i>
GGA-PBE NaHfGa2Ge, optimized geometry; calculated volume = 151.4 Å³ per cell
1.0
5.168 0.000 0.000
0.000 5.668 0.000
0.000 0.000 5.168
Ge Hf Na Ga
1 1 1 2
Direct
0.500 0.500 0.500 Ge
0.000 0.000 0.000 Hf
0.000 0.500 0.000 Na
0.500 0.000 0.000 Ga
0.000 0.000 0.500 Ga

<ii>
GGA-PBE NaHfGa2Ge, optimized geometry; calculated volume = 110.3 Å³ per cell
1.0
4.767 0.000 0.000
0.000 4.852 0.000
0.000 0.000 4.767
Ge Na Hf Ga
1 1 1 2
Direct
0.000 0.500 0.000 Ge
0.000 0.000 0.000 Na
0.500 0.500 0.500 Hf
0.500 0.000 0.000 Ga
0.000 0.000 0.500 Ga

<iii>
GGA-PBE NaHfGa2Ge, optimized geometry; calculated volume = 120.7 Å³ per cell
1.0
4.736 0.000 0.000
0.000 5.379 0.000
0.000 0.000 4.736
Ga Ge Na Hf
2 1 1 1
Direct
0.500 0.000 0.000 Ga
0.000 0.000 0.500 Ga
0.500 0.500 0.500 Ge
0.000 0.000 0.000 Na
0.000 0.500 0.000 Hf

Stability summary - winner: <ii>; margin: 7.8 kJ/mol of atoms.

<i>
GGA-PBE Ga2Hg2Ge, optimized geometry; calculated volume = 224.9 Å³ per cell
1.0
-2.883 -7.680 -0.500
5.398 -1.637 -5.978
2.223 -0.983 2.276
Ga Hg Ge
4 4 2
Direct
0.871 0.371 0.500 Ga
0.629 0.871 0.500 Ga
0.371 0.129 0.500 Ga
0.129 0.629 0.500 Ga
0.328 0.828 0.000 Hg
0.172 0.328 0.000 Hg
0.828 0.672 0.000 Hg
0.672 0.172 0.000 Hg
0.000 0.000 0.000 Ge
0.500 0.500 0.000 Ge

<ii>
GGA-PBE Ga2Hg2Ge, optimized geometry; calculated volume = 114.4 Å³ per cell
1.0
4.253 0.000 0.000
0.000 4.253 0.000
2.127 2.127 6.323
Ga Ge Hg
2 1 2
Direct
0.402 0.402 0.196 Ga
0.598 0.598 0.804 Ga
0.000 0.000 0.000 Ge
0.750 0.250 0.500 Hg
0.250 0.750 0.500 Hg

Stability summary - winner: <i>; margin: 7.9 kJ/mol of atoms.

<i>
GGA-PBE GaHgGe2, optimized geometry; calculated volume = 83.6 Å³ per cell
1.0
-2.725 -2.520 -3.211
-4.881 0.523 -0.019
-2.204 2.334 -3.713
Hg Ge Ga
1 2 1
Direct
0.500 0.500 0.500 Hg
0.250 0.250 0.250 Ge
0.750 0.750 0.750 Ge
0.000 0.000 0.000 Ga

<ii>
GGA-PBE GaHgGe2, optimized geometry; calculated volume = 210.2 Å³ per cell
1.0
-1.675 5.830 -1.792
-3.382 -2.434 -4.759
-6.745 1.447 -0.150
Hg Ga Ge
2 2 4
Direct
0.000 0.000 0.000 Hg
0.750 0.250 0.500 Hg
0.250 0.750 0.500 Ga
0.500 0.500 0.000 Ga
0.598 0.125 0.250 Ge
0.875 0.848 0.750 Ge
0.375 0.402 0.750 Ge
0.152 0.625 0.250 Ge

Stability summary - winner: <i>; margin: 3.5 kJ/mol of atoms.

<i>
GGA-PBE Ga3HgGe, optimized geometry; calculated volume = 130.7 Å³ per cell
1.0
-2.421 3.190 3.117
0.908 -3.119 3.898
4.366 2.418 0.917
Hg Ga Ge
1 3 1
Direct
0.500 0.500 0.500 Hg
0.000 0.500 0.000 Ga
0.500 0.000 0.000 Ga
0.000 0.000 0.500 Ga
0.000 0.000 0.000 Ge

<ii>
GGA-PBE Ga3HgGe, optimized geometry; calculated volume = 137.3 Å³ per cell
1.0
-3.868 1.351 3.135
-2.892 -3.813 -1.926
1.813 -3.202 3.616
Hg Ga Ge
1 3 1
Direct
0.000 0.000 0.000 Hg
0.000 0.000 0.500 Ga
0.500 0.000 0.000 Ga
0.000 0.500 0.000 Ga
0.500 0.500 0.500 Ge

Stability summary - winner: <i>; margin: 29.5 kJ/mol of atoms.

<i>
GGA-PBE GaHg2Ge2, optimized geometry; calculated volume = 226.2 Å³ per cell
1.0
7.092 0.000 0.000
0.000 7.092 0.000
0.000 0.000 4.498
Ge Hg Ga
4 4 2
Direct
0.631 0.131 0.000 Ge
0.869 0.631 0.000 Ge
0.369 0.869 0.000 Ge
0.131 0.369 0.000 Ge
0.319 0.181 0.500 Hg
0.181 0.681 0.500 Hg
0.819 0.319 0.500 Hg
0.681 0.819 0.500 Hg
0.000 0.000 0.000 Ga
0.500 0.500 0.000 Ga

<ii>
GGA-PBE GaHg2Ge2, optimized geometry; calculated volume = 122.2 Å³ per cell
1.0
-3.773 2.546 -0.714
-1.963 -3.531 -2.214
-5.080 -2.378 3.503
Hg Ga Ge
2 1 2
Direct
0.750 0.250 0.500 Hg
0.250 0.750 0.500 Hg
0.000 0.000 0.000 Ga
0.607 0.607 0.786 Ge
0.393 0.393 0.214 Ge

Stability summary - winner: <i>; margin: 6.3 kJ/mol of atoms.

<i>
GGA-PBE GaHg2Ge2, optimized geometry; calculated volume = 116.5 Å³ per cell
1.0
-0.414 -3.182 -1.837
0.240 -1.868 3.182
-8.533 -1.980 1.630
Hg Ge Ga
2 2 1
Direct
0.403 0.403 0.195 Hg
0.597 0.597 0.805 Hg
0.750 0.250 0.500 Ge
0.250 0.750 0.500 Ge
0.000 0.000 0.000 Ga

<ii>
GGA-PBE GaHg2Ge2, optimized geometry; calculated volume = 231.6 Å³ per cell
1.0
8.794 0.000 0.000
0.000 8.794 0.000
0.000 0.000 2.995
Hg Ge Ga
4 4 2
Direct
0.667 0.167 0.000 Hg
0.833 0.667 0.000 Hg
0.167 0.333 0.000 Hg
0.333 0.833 0.000 Hg
0.868 0.368 0.500 Ge
0.368 0.132 0.500 Ge
0.132 0.632 0.500 Ge
0.632 0.868 0.500 Ge
0.000 0.000 0.000 Ga
0.500 0.500 0.000 Ga

Stability summary - winner: <i>; margin: 6.8 kJ/mol of atoms.

<i>
GGA-PBE Ga2HgGeRu, optimized geometry; calculated volume = 114.6 Å³ per cell
1.0
4.925 0.000 0.000
0.000 4.726 0.000
0.000 0.000 4.925
Ga Ge Ru Hg
2 1 1 1
Direct
0.000 0.000 0.500 Ga
0.500 0.000 0.000 Ga
0.000 0.000 0.000 Ge
0.000 0.500 0.000 Ru
0.500 0.500 0.500 Hg

<ii>
GGA-PBE Ga2HgGeRu, optimized geometry; calculated volume = 119.7 Å³ per cell
1.0
4.738 0.000 0.000
0.000 5.330 0.000
0.000 0.000 4.738
Ru Ge Ga Hg
1 1 2 1
Direct
0.000 0.000 0.000 Ru
0.500 0.500 0.500 Ge
0.500 0.000 0.000 Ga
0.000 0.000 0.500 Ga
0.000 0.500 0.000 Hg

Stability summary - winner: <ii>; margin: 25.8 kJ/mol of atoms.

<i>
GGA-PBE Ho2Ga2Ge, optimized geometry; calculated volume = 218.1 Å³ per cell
1.0
-3.860 -1.366 0.573
-0.159 -4.051 4.187
-3.261 5.979 7.197
Ge Ho Ga
2 4 4
Direct
0.422 0.843 0.314 Ge
0.578 0.157 0.686 Ge
0.903 0.293 0.902 Ho
0.706 0.236 0.353 Ho
0.097 0.707 0.098 Ho
0.294 0.764 0.647 Ho
0.365 0.160 0.110 Ga
0.016 0.367 0.601 Ga
0.984 0.633 0.399 Ga
0.635 0.840 0.890 Ga

<ii>
GGA-PBE Ho2Ga2Ge, optimized geometry; calculated volume = 109.1 Å³ per cell
1.0
-0.577 -0.576 -3.929
3.038 -2.482 -0.082
-5.792 -4.035 1.442
Ho Ge Ga
2 1 2
Direct
0.000 0.935 0.869 Ho
0.000 0.680 0.361 Ho
0.500 0.114 0.227 Ge
0.500 0.503 0.005 Ga
0.500 0.311 0.622 Ga

Stability summary - winner: <i>; margin: 2.7 kJ/mol of atoms.

<i>
GGA-PBE HoGaGe2, optimized geometry; calculated volume = 83.8 Å³ per cell
1.0
4.497 0.000 0.000
2.248 3.894 0.000
2.248 1.298 4.784
Ga Ge Ho
1 2 1
Direct
0.000 0.000 0.000 Ga
0.281 0.281 0.156 Ge
0.719 0.719 0.844 Ge
0.500 0.500 0.500 Ho

<ii>
GGA-PBE HoGaGe2, optimized geometry; calculated volume = 79.1 Å³ per cell
1.0
4.312 0.000 0.000
0.000 4.284 0.000
0.000 0.000 4.284
Ge Ho Ga
2 1 1
Direct
0.000 0.000 0.500 Ge
0.000 0.500 0.000 Ge
0.500 0.000 0.000 Ho
0.500 0.500 0.500 Ga

Stability summary - winner: <ii>; margin: 18.1 kJ/mol of atoms.

<i>
GGA-PBE HoGa2Ge, optimized geometry; calculated volume = 78.3 Å³ per cell
1.0
-1.741 4.068 -0.626
-2.141 -1.424 -3.301
-3.204 -0.986 2.504
Ga Ge Ho
2 1 1
Direct
0.000 0.500 0.000 Ga
0.000 0.000 0.500 Ga
0.500 0.500 0.500 Ge
0.500 0.000 0.000 Ho

<ii>
GGA-PBE HoGa2Ge, optimized geometry; calculated volume = 84.1 Å³ per cell
1.0
-3.279 -2.807 1.043
-1.128 -3.241 -2.817
1.787 -5.020 1.561
Ga Ho Ge
2 1 1
Direct
0.278 0.278 0.165 Ga
0.722 0.722 0.835 Ga
0.500 0.500 0.500 Ho
0.000 0.000 0.000 Ge

Stability summary - winner: <i>; margin: 23.1 kJ/mol of atoms.

<i>
GGA-PBE NdHoGaGe, optimized geometry; calculated volume = 97.9 Å³ per cell
1.0
-2.859 -1.892 2.741
-2.367 -0.973 -3.140
4.094 -3.842 -1.896
Ho Nd Ge Ga
1 1 1 1
Direct
0.862 0.500 0.724 Ho
0.142 0.000 0.283 Nd
0.421 0.000 0.842 Ge
0.575 0.500 0.151 Ga

<ii>
GGA-PBE NdHoGaGe, optimized geometry; calculated volume = 95.7 Å³ per cell
1.0
-2.870 3.536 -2.369
-4.656 -1.239 -1.771
-4.198 1.858 2.297
Ho Ge Nd Ga
1 1 1 1
Direct
0.750 0.750 0.750 Ho
0.500 0.500 0.500 Ge
0.250 0.250 0.250 Nd
0.000 0.000 0.000 Ga

Stability summary - winner: <i>; margin: 19.3 kJ/mol of atoms.

<i>
GGA-PBE PmHoGaGe, optimized geometry; calculated volume = 96.7 Å³ per cell
1.0
-2.531 0.784 -3.479
2.707 -1.825 -2.380
-1.281 -5.177 2.513
Ge Ga Pm Ho
1 1 1 1
Direct
0.421 0.000 0.842 Ge
0.576 0.500 0.153 Ga
0.141 0.000 0.282 Pm
0.862 0.500 0.723 Ho

<ii>
GGA-PBE PmHoGaGe, optimized geometry; calculated volume = 94.5 Å³ per cell
1.0
5.113 0.000 0.000
2.557 4.428 0.000
2.557 1.476 4.175
Ho Ga Ge Pm
1 1 1 1
Direct
0.750 0.750 0.750 Ho
0.500 0.500 0.500 Ga
0.000 0.000 0.000 Ge
0.250 0.250 0.250 Pm

Stability summary - winner: <i>; margin: 19.6 kJ/mol of atoms.